Computed, not measured: a geometry-optimized Ac5Ga3P12 structure at the PBE level of DFT.

## Properties
- DOS at the Fermi energy (states/eV per cell) = 11.66
- V (Å³/f.u.) = 575.3
- total magnetization (Bohr magnetons per cell) = 0.000
- electronic total energy (eV/atom) = -5.13

a b c (Å): 16.6335 16.6335 16.6335
angles (deg): 90.00 90.00 90.00
Space group Ia-3d (No. 230)
One atom of each set of equivalent atoms:
Ac1 0.0000 0.0000 0.0000 x16
Ac2 0.0000 0.2500 0.3750 x24
Ga1 0.0000 0.2500 0.1250 x24
P1 0.0341 0.0961 0.3024 x96



Computed, not measured: a geometry-optimized Ac4Ga2P structure at the PBE level of DFT.

## Properties
- DOS at the Fermi energy (states/eV per cell) = 14.37
- V (Å³/f.u.) = 236.5
- total magnetization (Bohr magnetons per cell) = 0.000
- energy above the lowest structure with this stoichiometry (kJ/mol of atoms) = 0.0

a b c (Å): 13.4896 4.6195 9.2680
angles (deg): 90.00 125.00 90.00
Space group C2/m (No. 12)
One atom of each set of equivalent atoms:
Ac1 0.0853 0.0000 0.3794 x4
Ac2 0.1743 0.5000 0.0862 x4
Ga1 0.1123 0.5000 0.6614 x4
P1 0.0000 0.0000 0.0000 x2



Computed, not measured: a geometry-optimized Ac3GaP structure at the PBE level of DFT.

## Properties
- DOS at the Fermi energy (states/eV per cell) = 2.94
- V (Å³/f.u.) = 195.7
- total magnetization (Bohr magnetons per cell) = 0.000
- electronic total energy (eV/atom) = -4.59

a b c (Å): 5.8062 5.8062 5.8062
angles (deg): 90.00 90.00 90.00
Space group Pm-3m (No. 221)
One atom of each set of equivalent atoms:
Ac1 0.0000 0.0000 0.5000 x3
Ga1 0.5000 0.5000 0.5000 x1
P1 0.0000 0.0000 0.0000 x1



Computed, not measured: a geometry-optimized Ac4Ga2P structure at the PBE level of DFT.

## Properties
- DOS at the Fermi energy (states/eV per cell) = 8.80
- V (Å³/f.u.) = 265.0
- total magnetization (Bohr magnetons per cell) = 0.000
- energy above the lowest structure with this stoichiometry (kJ/mol of atoms) = 16.8

a b c (Å): 5.8893 5.8893 15.2828
angles (deg): 90.00 90.00 90.00
Space group I4/mmm (No. 139)
One atom of each set of equivalent atoms:
Ac1 0.0000 0.0000 0.1955 x4
Ac2 0.0000 0.5000 0.0000 x4
Ga1 0.0000 0.0000 0.3981 x4
P1 0.0000 0.0000 0.0000 x2



Computed, not measured: a geometry-optimized AcGaP structure at the PBE level of DFT.

## Properties
- DOS at the Fermi energy (states/eV per cell) = 2.83
- V (Å³/f.u.) = 87.9
- total magnetization (Bohr magnetons per cell) = 0.000
- energy above the lowest structure with this stoichiometry (kJ/mol of atoms) = 0.0

a b c (Å): 5.0500 5.0500 23.8890
angles (deg): 90.00 90.00 120.00
Space group R-3m (No. 166, hexagonal axes)
One atom of each set of equivalent atoms:
Ac1 0.0000 0.0000 0.0947 x6
Ga1 0.0000 0.0000 0.3231 x6
P1 0.0000 0.0000 0.2199 x6



Computed, not measured: a geometry-optimized AcGaP structure at the PBE level of DFT.

## Properties
- DOS at the Fermi energy (states/eV per cell) = 2.77
- V (Å³/f.u.) = 74.5
- total magnetization (Bohr magnetons per cell) = 0.000
- energy above the lowest structure with this stoichiometry (kJ/mol of atoms) = 8.9

a b c (Å): 4.4744 4.4744 4.2973
angles (deg): 90.00 90.00 120.00
Space group P-6m2 (No. 187)
One atom of each set of equivalent atoms:
Ac1 0.0000 0.0000 0.0000 x1
Ga1 0.3333 0.6667 0.5000 x1
P1 0.6667 0.3333 0.5000 x1



What did the sixth record say?
Computed, not measured: a geometry-optimized AcGaP structure at the PBE level of DFT.

## Properties
- DOS at the Fermi energy (states/eV per cell) = 2.77
- V (Å³/f.u.) = 74.5
- total magnetization (Bohr magnetons per cell) = 0.000
- energy above the lowest structure with this stoichiometry (kJ/mol of atoms) = 8.9

a b c (Å): 4.4744 4.4744 4.2973
angles (deg): 90.00 90.00 120.00
Space group P-6m2 (No. 187)
One atom of each set of equivalent atoms:
Ac1 0.0000 0.0000 0.0000 x1
Ga1 0.3333 0.6667 0.5000 x1
P1 0.6667 0.3333 0.5000 x1



Q: Which formula does entry 1 have?
A: Ac5Ga3P12



Q: Which value of DOS at the Fermi energy does entry 5 give?
A: 2.83 states/eV per cell



Q: Among the records above, which one has the highest DOS at the Fermi energy?
A: number 2